A plane-wave DFT calculation with PBE was carried out for a relaxed Ba2LiAlCl crystal.

Cell lengths 6.693, 6.693, 5.282 Å; angles 90.00, 90.00, 90.00 degrees
Fractional coordinates of all 5 atoms:
Ba1 0.000 0.500 0.000
Ba2 0.500 0.000 0.000
Li1 0.000 0.000 0.500
Al1 0.500 0.500 0.000
Cl1 0.500 0.500 0.500

Values from the calculation:
- Formation energy from raw total energies: -0.5 eV/f.u.
- Space group: No. 123
- Calculated density: 2.41 g/cm³